# 1
Computed, not measured: a relaxed structure of TlRu2Se at the GGA-PBEsol level of DFT.

a b c (Å): 2.985 4.545 5.789
angles (deg): 100.29 90.00 109.17
Fractional coordinates of all 4 atoms:
Tl 0.742 0.484 0.218
Ru 0.974 0.948 0.958
Ru 0.252 0.503 0.663
Se 0.532 0.064 0.660

## Properties
The energy relative to the lowest polymorph listed for this composition is 0.0 kJ/mol of formula units. The calculation puts the formation energy (no corrections) at 1.50 eV/f.u. Its total energy is -25.33 eV for the cell shown. The density of states at the Fermi level comes out at 3.2 states/eV/f.u.

---

# 2
Computed, not measured: a relaxed structure of Be2PdCl at the GGA-PBEsol level of DFT.

a b c (Å): 4.174 4.174 4.174
angles (deg): 60.00 60.00 60.00
Fractional coordinates of all 4 atoms:
Cl 0.000 0.000 0.000
Pd 0.500 0.500 0.500
Be 0.750 0.750 0.750
Be 0.250 0.250 0.250

## Properties
The calculation puts the formation energy (no corrections) at 2.11 eV/f.u. Its total energy is -13.86 eV for the cell shown. The density of states at the Fermi level comes out at 1.7 states/eV/f.u.

---

# 3
Computed, not measured: a relaxed structure of CsGeTe2I at the GGA-PBEsol level of DFT.

a b c (Å): 6.134 6.134 6.591
angles (deg): 90.00 90.00 90.00
Fractional coordinates of all 5 atoms:
Ge 0.500 0.500 0.500
Te 0.000 0.500 0.000
Cs 0.000 0.000 0.000
Te 0.500 0.000 0.000
I 0.000 0.000 0.500

## Properties
The calculation puts the formation energy (no corrections) at 5.28 eV/f.u. Its total energy is -9.42 eV for the cell shown. The density of states at the Fermi level comes out at 5.4 states/eV/f.u.

---

# 4
Computed, not measured: a relaxed structure of LaCd2Fe at the GGA-PBEsol level of DFT.

a b c (Å): 3.232 3.232 8.024
angles (deg): 90.00 90.00 90.00
Fractional coordinates of all 4 atoms:
Fe 0.000 0.000 0.533
Cd 0.500 0.500 0.717
Cd 0.000 0.000 0.963
La 0.500 0.500 0.286

## Properties
As for the formation energy: 0.138 eV per atom. Its total energy is -16.15 eV for the cell shown. The density of states at the Fermi level comes out at 4.1 states/eV/f.u.

---

# 5
Computed, not measured: a relaxed structure of Zr2WAu at the GGA-PBEsol level of DFT.

a b c (Å): 4.685 4.685 4.685
angles (deg): 60.00 60.00 60.00
Fractional coordinates of all 4 atoms:
Au 0.500 0.500 0.500
Zr 0.750 0.750 0.750
Zr 0.000 0.000 0.000
W 0.250 0.250 0.250

## Properties
As for the formation energy: 0.112 eV per atom. The energy relative to the lowest polymorph listed for this composition is 96.4 kJ/mol of formula units. Its total energy is -35.46 eV for the cell shown. The density of states at the Fermi level comes out at 4.2 states/eV/f.u.

---

# 6
Computed, not measured: a relaxed structure of Sr3Al at the GGA-PBEsol level of DFT.

a b c (Å): 3.976 3.976 10.228
angles (deg): 90.00 90.00 90.00
Fractional coordinates of all 4 atoms:
Al 0.000 0.000 0.000
Sr 0.500 0.500 0.184
Sr 0.000 0.000 0.500
Sr 0.500 0.500 0.816

## Properties
As for the formation energy: -0.043 eV per atom. Its total energy is -9.78 eV for the cell shown. The density of states at the Fermi level comes out at 3.6 states/eV/f.u.

---

# 7
Computed, not measured: a relaxed structure of Y3BAs at the GGA-PBEsol level of DFT.

a b c (Å): 5.210 5.210 5.210
angles (deg): 90.00 90.00 90.00
Fractional coordinates of all 5 atoms:
B 0.500 0.500 0.500
As 0.000 0.000 0.000
Y 0.000 0.000 0.500
Y 0.000 0.500 0.000
Y 0.500 0.000 0.000

## Properties
As for the formation energy: 0.375 eV per atom. Its total energy is -30.72 eV for the cell shown. The density of states at the Fermi level comes out at 1.9 states/eV/f.u.

---

# 8
Computed, not measured: a relaxed structure of BaAg2P at the GGA-PBEsol level of DFT.

a b c (Å): 3.419 3.932 6.781
angles (deg): 90.00 90.00 90.00
Fractional coordinates of all 4 atoms:
Ba 0.500 0.500 0.000
P 0.500 0.500 0.500
Ag 0.000 0.000 0.693
Ag 0.000 0.000 0.307

## Properties
As for the formation energy: 0.174 eV per atom. Its total energy is -13.87 eV for the cell shown. The density of states at the Fermi level comes out at 2.6 states/eV/f.u.

---

# 9
Computed, not measured: a relaxed structure of Ba2MgAl at the GGA-PBEsol level of DFT.

a b c (Å): 4.113 4.113 8.588
angles (deg): 90.00 90.00 90.00
Fractional coordinates of all 4 atoms:
Ba 0.000 0.000 0.270
Al 0.500 0.500 0.500
Ba 0.000 0.000 0.730
Mg 0.500 0.500 0.000

## Properties
As for the formation energy: -0.050 eV per atom. The energy relative to the lowest polymorph listed for this composition is 4.0 kJ/mol of formula units. Its total energy is -10.31 eV for the cell shown. The density of states at the Fermi level comes out at 2.9 states/eV/f.u.

---

# 10
Computed, not measured: a relaxed structure of MoH3W at the GGA-PBEsol level of DFT.

a b c (Å): 3.417 3.417 3.417
angles (deg): 90.00 90.00 90.00
Fractional coordinates of all 5 atoms:
Mo 0.000 0.000 0.000
H 0.000 0.500 0.000
H 0.000 0.000 0.500
H 0.500 0.000 0.000
W 0.500 0.500 0.500

## Properties
Its total energy is -32.40 eV for the cell shown. The density of states at the Fermi level comes out at 2.6 states/eV/f.u.

---

# 11
Computed, not measured: a relaxed structure of Fe3MoRh at the GGA-PBEsol level of DFT.

a b c (Å): 4.429 4.429 4.429
angles (deg): 90.00 90.00 90.00
Fractional coordinates of all 5 atoms:
Fe 0.500 0.000 0.000
Fe 0.000 0.500 0.000
Rh 0.000 0.000 0.000
Mo 0.500 0.500 0.500
Fe 0.000 0.000 0.500

## Properties
As for the formation energy: 1.734 eV per atom. The energy relative to the lowest polymorph listed for this composition is 57.6 kJ/mol of formula units. Its total energy is -38.13 eV for the cell shown. The density of states at the Fermi level comes out at 6.8 states/eV/f.u.

---

# 12
Computed, not measured: a relaxed structure of CaMgTc2 at the GGA-PBEsol level of DFT.

a b c (Å): 3.854 3.854 5.392
angles (deg): 110.94 110.94 90.00
Fractional coordinates of all 4 atoms:
Tc 0.250 0.750 0.500
Tc 0.750 0.250 0.500
Ca 0.500 0.500 0.000
Mg 0.000 0.000 0.000

## Properties
As for the formation energy: 0.644 eV per atom. Its total energy is -23.81 eV for the cell shown. The density of states at the Fermi level comes out at 3.1 states/eV/f.u.

---

# 13
Computed, not measured: a relaxed structure of K2Sb4O11 at the GGA-PBEsol level of DFT.

a b c (Å): 7.209 7.597 10.500
angles (deg): 111.21 94.55 90.00
Fractional coordinates of all 34 atoms:
K 0.263 0.014 0.027
Sb 0.097 0.572 0.144
O 0.186 0.432 0.260
O 0.568 0.844 0.175
Sb 0.384 0.424 0.848
O 0.432 0.669 0.825
O 0.814 0.172 0.740
K 0.003 0.243 0.486
O 0.331 0.554 0.529
O 0.509 0.667 0.335
K 0.997 0.757 0.514
O 0.491 0.333 0.665
O 0.651 0.840 0.680
O 0.669 0.446 0.471
Sb 0.565 0.067 0.651
O 0.669 0.025 0.471
O 0.186 0.828 0.260
O 0.866 0.619 0.238
O 0.134 0.381 0.762
O 0.814 0.568 0.740
O 0.000 0.327 0.000
O 0.432 0.156 0.825
O 0.331 0.975 0.529
O 0.349 0.160 0.320
Sb 0.435 0.933 0.349
Sb 0.565 0.583 0.651
O 0.568 0.331 0.175
O 0.345 0.524 0.048
O 0.000 0.673 0.000
Sb 0.435 0.417 0.349
Sb 0.903 0.428 0.856
O 0.655 0.476 0.952
K 0.737 0.986 0.973
Sb 0.616 0.576 0.152

## Properties
The calculation puts the formation energy (no corrections) at -26.29 eV/f.u. Its total energy is -209.06 eV for the cell shown. The density of states at the Fermi level comes out at 0.0 states/eV/f.u.

---

# 14
Computed, not measured: a relaxed structure of Na2SiBiCO7 at the GGA-PBEsol level of DFT.

a b c (Å): 5.297 6.877 9.305
angles (deg): 90.00 90.34 90.00
Fractional coordinates of all 24 atoms:
Si 0.290 0.250 0.585
O 0.459 0.750 0.831
C 0.736 0.250 0.079
Bi 0.206 0.750 0.627
O 0.832 0.937 0.331
O 0.832 0.563 0.331
O 0.042 0.750 0.858
Na 0.242 0.508 0.218
Na 0.242 0.992 0.218
O 0.541 0.250 0.169
Na 0.758 0.492 0.782
O 0.958 0.250 0.142
Bi 0.794 0.250 0.373
Na 0.758 0.008 0.782
O 0.168 0.437 0.669
O 0.601 0.250 0.594
O 0.296 0.750 0.054
O 0.792 0.750 0.587
C 0.264 0.750 0.921
O 0.168 0.063 0.669
O 0.399 0.750 0.406
O 0.704 0.250 0.946
Si 0.710 0.750 0.415
O 0.208 0.250 0.413

## Properties
The calculation puts the formation energy (no corrections) at -21.50 eV/f.u. Its total energy is -161.44 eV for the cell shown. The density of states at the Fermi level comes out at 2.5 states/eV/f.u.

---

# 15
Computed, not measured: a relaxed structure of SrNi3Ru at the GGA-PBEsol level of DFT.

a b c (Å): 4.482 4.482 4.482
angles (deg): 90.00 90.00 90.00
Fractional coordinates of all 5 atoms:
Ni 0.000 0.000 0.500
Ni 0.000 0.500 0.000
Ni 0.500 0.000 0.000
Sr 0.000 0.000 0.000
Ru 0.500 0.500 0.500

## Properties
As for the formation energy: 2.300 eV per atom. Its total energy is -18.98 eV for the cell shown. The density of states at the Fermi level comes out at 7.3 states/eV/f.u.

---

# 16
Computed, not measured: a relaxed structure of CaZnW at the GGA-PBEsol level of DFT.

a b c (Å): 2.767 2.767 7.257
angles (deg): 100.97 100.97 90.10
Fractional coordinates of all 3 atoms:
Ca 0.998 0.998 0.995
W 0.679 0.679 0.359
Zn 0.323 0.323 0.646

## Properties
As for the formation energy: 0.499 eV per atom. The energy relative to the lowest polymorph listed for this composition is 0.0 kJ/mol of formula units. Its total energy is -16.03 eV for the cell shown. The density of states at the Fermi level comes out at 1.3 states/eV/f.u.

---

# 17
Computed, not measured: a relaxed structure of Y3Ni at the GGA-PBEsol level of DFT.

a b c (Å): 5.125 5.125 5.125
angles (deg): 60.00 60.00 60.00
Fractional coordinates of all 4 atoms:
Y 0.250 0.250 0.250
Y 0.500 0.500 0.500
Ni 0.000 0.000 0.000
Y 0.750 0.750 0.750

## Properties
As for the formation energy: 0.233 eV per atom. Its total energy is -25.69 eV for the cell shown. The density of states at the Fermi level comes out at 7.0 states/eV/f.u.

---

# 18
Computed, not measured: a relaxed structure of TcIr2Rh at the GGA-PBEsol level of DFT.

a b c (Å): 3.817 3.817 4.657
angles (deg): 114.19 114.19 90.00
Fractional coordinates of all 4 atoms:
Rh 0.000 0.000 0.000
Ir 0.750 0.250 0.500
Ir 0.250 0.750 0.500
Tc 0.500 0.500 0.000

## Properties
As for the formation energy: -0.123 eV per atom. The energy relative to the lowest polymorph listed for this composition is 8.0 kJ/mol of formula units. Its total energy is -39.54 eV for the cell shown. The density of states at the Fermi level comes out at 4.6 states/eV/f.u.

---

# 19
Computed, not measured: a relaxed structure of BaAl3Tl at the GGA-PBEsol level of DFT.

a b c (Å): 5.365 5.365 5.365
angles (deg): 90.00 90.00 90.00
Fractional coordinates of all 5 atoms:
Al 0.000 0.500 0.000
Tl 0.000 0.000 0.000
Al 0.500 0.000 0.000
Al 0.000 0.000 0.500
Ba 0.500 0.500 0.500

## Properties
As for the formation energy: 0.453 eV per atom. Its total energy is -14.79 eV for the cell shown. The density of states at the Fermi level comes out at 3.1 states/eV/f.u.

---

# 20
Computed, not measured: a relaxed structure of CaCu3Bi at the GGA-PBEsol level of DFT.

a b c (Å): 4.829 4.829 4.829
angles (deg): 90.00 90.00 90.00
Fractional coordinates of all 5 atoms:
Ca 0.000 0.000 0.000
Cu 0.500 0.000 0.000
Cu 0.000 0.500 0.000
Bi 0.500 0.500 0.500
Cu 0.000 0.000 0.500

## Properties
As for the formation energy: 1.137 eV per atom. Its total energy is -13.73 eV for the cell shown. The density of states at the Fermi level comes out at 3.0 states/eV/f.u.

---

# 21
Computed, not measured: a relaxed structure of AlCr2Mo at the GGA-PBEsol level of DFT.

a b c (Å): 3.071 4.150 4.150
angles (deg): 90.00 90.00 90.00
Fractional coordinates of all 4 atoms:
Cr 0.000 0.000 0.500
Mo 0.500 0.500 0.500
Al 0.500 0.000 0.000
Cr 0.000 0.500 0.000

## Properties
As for the formation energy: 0.018 eV per atom. Its total energy is -36.27 eV for the cell shown. The density of states at the Fermi level comes out at 2.8 states/eV/f.u.

---

# 22
Computed, not measured: a relaxed structure of YInRe at the GGA-PBEsol level of DFT.

a b c (Å): 3.512 3.512 5.545
angles (deg): 108.47 108.47 90.00
Fractional coordinates of all 3 atoms:
Re 0.657 0.657 0.314
Y 0.323 0.323 0.646
In 0.020 0.020 0.040

## Properties
As for the formation energy: 0.192 eV per atom. The energy relative to the lowest polymorph listed for this composition is 0.0 kJ/mol of formula units. Its total energy is -22.56 eV for the cell shown. The density of states at the Fermi level comes out at 3.5 states/eV/f.u.

---

# 23
Computed, not measured: a relaxed structure of Tb2CBr at the GGA-PBEsol level of DFT.

a b c (Å): 3.649 3.649 13.953
angles (deg): 90.00 90.00 120.00
Fractional coordinates of all 8 atoms:
C 0.000 0.000 0.000
Tb 0.667 0.333 0.408
Tb 0.333 0.667 0.592
Br 0.333 0.667 0.250
C 0.000 0.000 0.500
Tb 0.667 0.333 0.092
Tb 0.333 0.667 0.908
Br 0.667 0.333 0.750

## Properties
The calculation puts the formation energy (no corrections) at -4.14 eV/f.u. Its total energy is -51.35 eV for the cell shown. The density of states at the Fermi level comes out at 1.6 states/eV/f.u.

---

# 24
Computed, not measured: a relaxed structure of MgSi2P at the GGA-PBEsol level of DFT.

a b c (Å): 3.650 3.647 4.785
angles (deg): 90.00 90.00 90.00
Fractional coordinates of all 4 atoms:
P 0.000 0.500 0.500
Si 0.500 0.500 0.000
Mg 0.500 0.000 0.500
Si 0.000 0.000 0.000

## Properties
The energy relative to the lowest polymorph listed for this composition is 21.9 kJ/mol of formula units. The calculation puts the formation energy (no corrections) at 0.67 eV/f.u. Its total energy is -18.33 eV for the cell shown. The density of states at the Fermi level comes out at 1.9 states/eV/f.u.

---

# 25
Computed, not measured: a relaxed structure of YReAu2 at the GGA-PBEsol level of DFT.

a b c (Å): 2.905 2.905 8.532
angles (deg): 90.00 90.00 90.00
Fractional coordinates of all 4 atoms:
Au 0.500 0.500 0.261
Re 0.000 0.000 0.480
Y 0.500 0.500 0.747
Au 0.000 0.000 0.011

## Properties
As for the formation energy: 0.142 eV per atom. The energy relative to the lowest polymorph listed for this composition is 41.6 kJ/mol of formula units. Its total energy is -27.44 eV for the cell shown. The density of states at the Fermi level comes out at 2.5 states/eV/f.u.

---

# 26
Computed, not measured: a relaxed structure of ScNi2Os at the GGA-PBEsol level of DFT.

a b c (Å): 4.231 4.231 4.231
angles (deg): 60.00 60.00 60.00
Fractional coordinates of all 4 atoms:
Ni 0.750 0.750 0.750
Ni 0.250 0.250 0.250
Os 0.000 0.000 0.000
Sc 0.500 0.500 0.500

## Properties
As for the formation energy: -0.040 eV per atom. The energy relative to the lowest polymorph listed for this composition is 49.2 kJ/mol of formula units. Its total energy is -31.30 eV for the cell shown. The density of states at the Fermi level comes out at 6.0 states/eV/f.u.

---

# 27
Computed, not measured: a relaxed structure of Al2CoBr at the GGA-PBEsol level of DFT.

a b c (Å): 3.011 3.287 7.879
angles (deg): 102.04 101.02 90.00
Fractional coordinates of all 4 atoms:
Co 0.301 0.801 0.601
Al 0.746 0.246 0.492
Al 0.921 0.921 0.841
Br 0.533 0.533 0.065

## Properties
The energy relative to the lowest polymorph listed for this composition is 79.8 kJ/mol of formula units. The calculation puts the formation energy (no corrections) at -0.15 eV/f.u. Its total energy is -17.94 eV for the cell shown. The density of states at the Fermi level comes out at 2.3 states/eV/f.u.